This record from the Alexandria database describes a geometry-optimized ErTl2Ni3F12 structure. The functional is GGA+U.

```
ErTl2Ni3F12
1.0
7.470 0.099 0.070
3.775 6.446 0.070
3.775 2.197 6.061
F Tl Er Ni
12 2 1 3
Cartesian
3.449 4.371 0.596 F
8.114 4.723 0.603 F
6.905 4.019 5.597 F
5.504 0.840 0.596 F
6.905 6.611 1.943 F
3.449 2.008 3.928 F
9.514 7.902 5.605 F
5.860 6.003 4.258 F
11.570 6.734 2.272 F
11.570 4.371 5.605 F
8.114 2.131 4.258 F
9.159 2.739 1.943 F
9.260 5.390 3.823 Tl
5.759 3.352 2.378 Tl
0.000 0.000 0.000 Er
1.887 3.223 0.035 Ni
1.887 1.099 3.030 Ni
3.735 0.049 0.035 Ni
```

Summary:
* raw total energy: -4.6159 eV per atom
* symmetry: No. 166
* mass density: 5.66 g cm⁻³